The following is a DFT calculation (PBE with a Hubbard U) of crystalline CrGeSO at its relaxed geometry.

Fermi-level density of states: 1.9 states/eV per cell
E_tot: -5.986 eV per atom
Calculated density: 3.86 Mg/m³

Cell: 3.2635 3.3625 13.5576 Å, 90.00 90.00 90.00°
Closest atoms and distances in Å follow each position.
Space group Imm2 (No. 44)
One atom of each set of equivalent atoms:
Cr 0.0000 0.0000 0.0000 (multiplicity 2)  1 O 2.10
Ge 0.0000 0.5000 0.2644 (multiplicity 2)  2 O 1.96
S 0.0000 0.0000 0.5477 (multiplicity 2)  4 Cr 2.43
O 0.0000 0.0000 0.8450 (multiplicity 2)  2 Ge 1.96, 1 Cr 2.10